i:
Density functional theory data (PBE-GGA) for an optimized crystal structure of La8YHo2.

- spin magnetization (μB/cell) = 0.0
- crystal system = monoclinic
- SG = C2/m, No. 12

```
data_La8YHo2
_chemical_formula_sum 'La8 Y1 Ho2'
_symmetry_space_group_name_H-M 'P 1'
_symmetry_Int_Tables_number 1
_cell_length_a 9.622
_cell_length_b 9.622
_cell_length_c 6.091
_cell_angle_alpha 105.81
_cell_angle_beta 105.81
_cell_angle_gamma 122.28
loop_
_symmetry_equiv_pos_as_xyz
'x,y,z'
loop_
_atom_site_label
_atom_site_type_symbol
_atom_site_fract_x
_atom_site_fract_y
_atom_site_fract_z
La1 La 0.095 0.335 0.685
La2 La 0.207 0.793 0.000
La3 La 0.335 0.095 0.685
La4 La 0.422 0.422 0.201
La5 La 0.578 0.578 0.799
La6 La 0.665 0.905 0.315
La7 La 0.793 0.207 0.000
La8 La 0.905 0.665 0.315
Y1 Y 0.000 0.000 0.000
Ho1 Ho 0.312 0.688 0.500
Ho2 Ho 0.688 0.312 0.500
```

ii:
Density functional theory data (PBE-GGA) for an optimized crystal structure of La8YHo2.

- spin magnetization (μB/cell) = 0.0
- crystal system = monoclinic
- SG = C2/m, No. 12

```
data_La8YHo2
_chemical_formula_sum 'La8 Y1 Ho2'
_symmetry_space_group_name_H-M 'P 1'
_symmetry_Int_Tables_number 1
_cell_length_a 9.715
_cell_length_b 9.715
_cell_length_c 8.238
_cell_angle_alpha 104.68
_cell_angle_beta 104.68
_cell_angle_gamma 31.20
loop_
_symmetry_equiv_pos_as_xyz
'x,y,z'
loop_
_atom_site_label
_atom_site_type_symbol
_atom_site_fract_x
_atom_site_fract_y
_atom_site_fract_z
La1 La 0.047 0.047 0.226
La2 La 0.138 0.138 0.687
La3 La 0.318 0.318 0.588
La4 La 0.408 0.408 0.045
La5 La 0.592 0.592 0.955
La6 La 0.682 0.682 0.412
La7 La 0.862 0.862 0.313
La8 La 0.953 0.953 0.774
Y1 Y 0.500 0.500 0.500
Ho1 Ho 0.227 0.227 0.134
Ho2 Ho 0.773 0.773 0.866
```

The computed energies, referenced to the most stable structure and given in meV/atom, are i 103; ii 0.

i:
Density functional theory data (PBE-GGA) for an optimized crystal structure of La3HoZn2.

- spin magnetization (μB/cell) = 0.0
- crystal system = orthorhombic
- SG = Pmc2_1, No. 26

```
data_La3HoZn2
_chemical_formula_sum 'La6 Ho2 Zn4'
_symmetry_space_group_name_H-M 'P 1'
_symmetry_Int_Tables_number 1
_cell_length_a 5.305
_cell_length_b 9.529
_cell_length_c 6.803
_cell_angle_alpha 90.00
_cell_angle_beta 90.00
_cell_angle_gamma 90.00
loop_
_symmetry_equiv_pos_as_xyz
'x,y,z'
loop_
_atom_site_label
_atom_site_type_symbol
_atom_site_fract_x
_atom_site_fract_y
_atom_site_fract_z
La1 La 0.000 0.058 0.000
La2 La 0.000 0.333 0.311
La3 La 0.000 0.667 0.811
La4 La 0.000 0.942 0.500
La5 La 0.500 0.175 0.674
La6 La 0.500 0.825 0.174
Ho1 Ho 0.500 0.447 0.008
Ho2 Ho 0.500 0.553 0.508
Zn1 Zn 0.000 0.350 0.784
Zn2 Zn 0.000 0.650 0.284
Zn3 Zn 0.500 0.160 0.214
Zn4 Zn 0.500 0.840 0.714
```

ii:
Density functional theory data (PBE-GGA) for an optimized crystal structure of La3HoZn2.

- spin magnetization (μB/cell) = 0.0
- crystal system = tetragonal
- SG = P4/mmm, No. 123

```
data_La3HoZn2
_chemical_formula_sum 'La3 Ho1 Zn2'
_symmetry_space_group_name_H-M 'P 1'
_symmetry_Int_Tables_number 1
_cell_length_a 3.768
_cell_length_b 3.768
_cell_length_c 12.397
_cell_angle_alpha 90.00
_cell_angle_beta 90.00
_cell_angle_gamma 90.00
loop_
_symmetry_equiv_pos_as_xyz
'x,y,z'
loop_
_atom_site_label
_atom_site_type_symbol
_atom_site_fract_x
_atom_site_fract_y
_atom_site_fract_z
La1 La 0.000 0.000 0.000
La2 La 0.000 0.000 0.298
La3 La 0.000 0.000 0.702
Ho1 Ho 0.500 0.500 0.500
Zn1 Zn 0.500 0.500 0.153
Zn2 Zn 0.500 0.500 0.847
```

The computed energies, referenced to the most stable structure and given in meV/atom, are i 0; ii 18.

i:
Density functional theory data (PBE-GGA) for an optimized crystal structure of LaHo2Zn.

- spin magnetization (μB/cell) = 0.0
- crystal system = trigonal
- SG = R3m, No. 160

```
data_LaHo2Zn
_chemical_formula_sum 'La1 Ho2 Zn1'
_symmetry_space_group_name_H-M 'P 1'
_symmetry_Int_Tables_number 1
_cell_length_a 10.630
_cell_length_b 10.630
_cell_length_c 10.630
_cell_angle_alpha 19.59
_cell_angle_beta 19.59
_cell_angle_gamma 19.59
loop_
_symmetry_equiv_pos_as_xyz
'x,y,z'
loop_
_atom_site_label
_atom_site_type_symbol
_atom_site_fract_x
_atom_site_fract_y
_atom_site_fract_z
La1 La 0.000 0.000 0.000
Ho1 Ho 0.568 0.568 0.568
Ho2 Ho 0.764 0.764 0.764
Zn1 Zn 0.166 0.166 0.166
```

ii:
Density functional theory data (PBE-GGA) for an optimized crystal structure of LaHo2Zn.

- spin magnetization (μB/cell) = 0.0
- crystal system = tetragonal
- SG = P4/mmm, No. 123

```
data_LaHo2Zn
_chemical_formula_sum 'La1 Ho2 Zn1'
_symmetry_space_group_name_H-M 'P 1'
_symmetry_Int_Tables_number 1
_cell_length_a 3.587
_cell_length_b 3.587
_cell_length_c 8.826
_cell_angle_alpha 90.00
_cell_angle_beta 90.00
_cell_angle_gamma 90.00
loop_
_symmetry_equiv_pos_as_xyz
'x,y,z'
loop_
_atom_site_label
_atom_site_type_symbol
_atom_site_fract_x
_atom_site_fract_y
_atom_site_fract_z
La1 La 0.000 0.000 0.000
Ho1 Ho 0.500 0.500 0.303
Ho2 Ho 0.500 0.500 0.697
Zn1 Zn 0.000 0.000 0.500
```

The computed energies, referenced to the most stable structure and given in meV/atom, are i 111; ii 0.

i:
Density functional theory data (PBE-GGA) for an optimized crystal structure of LaHo2Zn.

- spin magnetization (μB/cell) = 0.0
- crystal system = tetragonal
- SG = P4/mmm, No. 123

```
data_LaHo2Zn
_chemical_formula_sum 'La1 Ho2 Zn1'
_symmetry_space_group_name_H-M 'P 1'
_symmetry_Int_Tables_number 1
_cell_length_a 4.786
_cell_length_b 4.786
_cell_length_c 4.857
_cell_angle_alpha 90.00
_cell_angle_beta 90.00
_cell_angle_gamma 90.00
loop_
_symmetry_equiv_pos_as_xyz
'x,y,z'
loop_
_atom_site_label
_atom_site_type_symbol
_atom_site_fract_x
_atom_site_fract_y
_atom_site_fract_z
La1 La 0.000 0.000 0.000
Ho1 Ho 0.000 0.500 0.500
Ho2 Ho 0.500 0.000 0.500
Zn1 Zn 0.500 0.500 0.000
```

ii:
Density functional theory data (PBE-GGA) for an optimized crystal structure of LaHo2Zn.

- spin magnetization (μB/cell) = 0.0
- crystal system = trigonal
- SG = R-3m, No. 166

```
data_LaHo2Zn
_chemical_formula_sum 'La1 Ho2 Zn1'
_symmetry_space_group_name_H-M 'P 1'
_symmetry_Int_Tables_number 1
_cell_length_a 6.049
_cell_length_b 6.049
_cell_length_c 6.049
_cell_angle_alpha 49.11
_cell_angle_beta 49.11
_cell_angle_gamma 49.11
loop_
_symmetry_equiv_pos_as_xyz
'x,y,z'
loop_
_atom_site_label
_atom_site_type_symbol
_atom_site_fract_x
_atom_site_fract_y
_atom_site_fract_z
La1 La 0.000 0.000 0.000
Ho1 Ho 0.224 0.224 0.224
Ho2 Ho 0.776 0.776 0.776
Zn1 Zn 0.500 0.500 0.500
```

The computed energies, referenced to the most stable structure and given in meV/atom, are i 0; ii 140.

i:
Density functional theory data (PBE-GGA) for an optimized crystal structure of La2HoZr.

- spin magnetization (μB/cell) = 0.0
- crystal system = tetragonal
- SG = P4/mmm, No. 123

```
data_La2HoZr
_chemical_formula_sum 'La2 Ho1 Zr1'
_symmetry_space_group_name_H-M 'P 1'
_symmetry_Int_Tables_number 1
_cell_length_a 4.094
_cell_length_b 4.094
_cell_length_c 7.435
_cell_angle_alpha 90.00
_cell_angle_beta 90.00
_cell_angle_gamma 90.00
loop_
_symmetry_equiv_pos_as_xyz
'x,y,z'
loop_
_atom_site_label
_atom_site_type_symbol
_atom_site_fract_x
_atom_site_fract_y
_atom_site_fract_z
La1 La 0.000 0.000 0.228
La2 La 0.000 0.000 0.772
Ho1 Ho 0.500 0.500 0.500
Zr1 Zr 0.500 0.500 0.000
```

ii:
Density functional theory data (PBE-GGA) for an optimized crystal structure of La2HoZr.

- spin magnetization (μB/cell) = 0.0
- crystal system = trigonal
- SG = R3m, No. 160

```
data_La2HoZr
_chemical_formula_sum 'La2 Ho1 Zr1'
_symmetry_space_group_name_H-M 'P 1'
_symmetry_Int_Tables_number 1
_cell_length_a 11.662
_cell_length_b 11.662
_cell_length_c 11.662
_cell_angle_alpha 17.38
_cell_angle_beta 17.38
_cell_angle_gamma 17.38
loop_
_symmetry_equiv_pos_as_xyz
'x,y,z'
loop_
_atom_site_label
_atom_site_type_symbol
_atom_site_fract_x
_atom_site_fract_y
_atom_site_fract_z
La1 La 0.000 0.000 0.000
La2 La 0.175 0.175 0.175
Ho1 Ho 0.756 0.756 0.756
Zr1 Zr 0.587 0.587 0.587
```

The computed energies, referenced to the most stable structure and given in meV/atom, are i 21; ii 0.

i:
Density functional theory data (PBE-GGA) for an optimized crystal structure of La2HoZr.

- spin magnetization (μB/cell) = 0.0
- crystal system = cubic
- SG = Fm-3m, No. 225

```
data_La2HoZr
_chemical_formula_sum 'La2 Ho1 Zr1'
_symmetry_space_group_name_H-M 'P 1'
_symmetry_Int_Tables_number 1
_cell_length_a 5.591
_cell_length_b 5.591
_cell_length_c 5.591
_cell_angle_alpha 60.00
_cell_angle_beta 60.00
_cell_angle_gamma 60.00
loop_
_symmetry_equiv_pos_as_xyz
'x,y,z'
loop_
_atom_site_label
_atom_site_type_symbol
_atom_site_fract_x
_atom_site_fract_y
_atom_site_fract_z
La1 La 0.250 0.250 0.250
La2 La 0.750 0.750 0.750
Ho1 Ho 0.000 0.000 0.000
Zr1 Zr 0.500 0.500 0.500
```

ii:
Density functional theory data (PBE-GGA) for an optimized crystal structure of La2HoZr.

- spin magnetization (μB/cell) = 0.0
- crystal system = trigonal
- SG = R-3m, No. 166

```
data_La2HoZr
_chemical_formula_sum 'La2 Ho1 Zr1'
_symmetry_space_group_name_H-M 'P 1'
_symmetry_Int_Tables_number 1
_cell_length_a 12.366
_cell_length_b 12.366
_cell_length_c 12.366
_cell_angle_alpha 15.91
_cell_angle_beta 15.91
_cell_angle_gamma 15.91
loop_
_symmetry_equiv_pos_as_xyz
'x,y,z'
loop_
_atom_site_label
_atom_site_type_symbol
_atom_site_fract_x
_atom_site_fract_y
_atom_site_fract_z
La1 La 0.084 0.084 0.084
La2 La 0.916 0.916 0.916
Ho1 Ho 0.500 0.500 0.500
Zr1 Zr 0.000 0.000 0.000
```

iii:
Density functional theory data (PBE-GGA) for an optimized crystal structure of La2HoZr.

- spin magnetization (μB/cell) = 0.0
- crystal system = tetragonal
- SG = P4/mmm, No. 123

```
data_La2HoZr
_chemical_formula_sum 'La2 Ho1 Zr1'
_symmetry_space_group_name_H-M 'P 1'
_symmetry_Int_Tables_number 1
_cell_length_a 5.036
_cell_length_b 5.036
_cell_length_c 4.882
_cell_angle_alpha 90.00
_cell_angle_beta 90.00
_cell_angle_gamma 90.00
loop_
_symmetry_equiv_pos_as_xyz
'x,y,z'
loop_
_atom_site_label
_atom_site_type_symbol
_atom_site_fract_x
_atom_site_fract_y
_atom_site_fract_z
La1 La 0.000 0.500 0.000
La2 La 0.500 0.000 0.000
Ho1 Ho 0.000 0.000 0.500
Zr1 Zr 0.500 0.500 0.500
```

The computed energies, referenced to the most stable structure and given in meV/atom, are i 58; ii 181; iii 0.